## LiSc2Pt (GGA-PBE)

Data for a relaxed LiSc2Pt crystal.

Lattice parameters (Å, degrees): 7.3445 4.5772 3.4666 90.00 61.84 128.58
Element x y z (fractional)
Pt 0.5000 0.5000 0.0000
Li 0.0000 0.5000 0.5000
Sc 0.0000 0.0000 0.0000
Sc 0.5000 0.0000 0.5000

## Properties
size of the total moment	0.0	μB/cell
crystal system	tetragonal
raw total energy	-5.8138	eV/atom
E_form	-659	meV/atom
energy above the most stable polymorph in this dataset	0.080	eV per atom
space group	P4/mmm